(1)
First-principles (PBE) data for an optimized crystal structure of Ba3MgSi, as listed in Alexandria.

Calculated values
Theoretical density in g/cm³: 2.90
Spin magnetization in μB per formula unit: 0.78
ΔE_f (raw) in eV/atom: 0.042
Energy above the most stable polymorph in this dataset in meV/atom: 0

Structure (POSCAR):
```
Ba3MgSi
1.0
6.434 0.000 0.000
0.000 6.434 0.000
0.000 0.000 6.434
Ba Si Mg
3 1 1
Direct
0.000 0.000 0.500
0.000 0.500 0.000
0.500 0.000 0.000
0.000 0.000 0.000
0.500 0.500 0.500
```

(2)
First-principles (PBE) data for an optimized crystal structure of GaSbIr, as listed in Alexandria.

Calculated values
Theoretical density in g/cm³: 11.12
Spin magnetization in μB per formula unit: 0.00
ΔE_f (raw) in eV/atom: -0.252
Energy above the most stable polymorph in this dataset in meV/atom: 51

Structure (POSCAR):
```
GaSbIr
1.0
6.690 0.000 0.000
0.000 6.785 -0.131
0.000 -2.106 5.090
Sb Ga Ir
4 4 4
Direct
0.570 0.139 0.319
0.930 0.139 0.819
0.430 0.861 0.681
0.070 0.861 0.181
0.754 0.586 0.291
0.746 0.586 0.791
0.246 0.414 0.709
0.254 0.414 0.209
0.455 0.724 0.116
0.545 0.276 0.884
0.955 0.276 0.384
0.045 0.724 0.616
```

> The highest energy above the most stable polymorph in this dataset belongs to which entry?

GaSbIr

Copy entry 1 word for word.
First-principles (PBE) data for an optimized crystal structure of Ba3MgSi, as listed in Alexandria.

Calculated values
Theoretical density in g/cm³: 2.90
Spin magnetization in μB per formula unit: 0.78
ΔE_f (raw) in eV/atom: 0.042
Energy above the most stable polymorph in this dataset in meV/atom: 0

Structure (POSCAR):
```
Ba3MgSi
1.0
6.434 0.000 0.000
0.000 6.434 0.000
0.000 0.000 6.434
Ba Si Mg
3 1 1
Direct
0.000 0.000 0.500
0.000 0.500 0.000
0.500 0.000 0.000
0.000 0.000 0.000
0.500 0.500 0.500
```

> Number 2 is which compound?

GaSbIr

> ΔE_f (raw) of number 1 (Ba3MgSi)?

0.042 eV/atom